(1)
Entry from Alexandria: a geometry-optimized PmDy2Co structure (GGA-PBE).

extended XYZ file:
```
8
Lattice="3.6630 0.0004 0.0000 -1.8303 6.0609 0.0000 0.0000 0.0000 9.4921" Properties=species:S:1:pos:R:3 pbc="T T T"
Dy -0.0002 4.3460 5.4391
Co 0.0002 2.9546 2.3730
Dy 1.8329 1.7153 4.0530
Pm 0.0012 1.0210 7.1190
Dy -0.0002 4.3460 8.7990
Pm 1.8315 5.0403 2.3730
Co 1.8325 3.1067 7.1190
Dy 1.8329 1.7153 0.6930
```

* symmetry: Cmcm
* polymorph energy (0 for the lowest one): 23 meV/atom



(2)
Entry from Alexandria: a geometry-optimized PmDy2Co9 structure (GGA-PBE).

extended XYZ file:
```
12
Lattice="-4.5862 -0.1580 -2.0075 -2.9462 -3.9720 0.7946 -5.5331 2.1902 6.2197" Properties=species:S:1:pos:R:3 pbc="T T T"
Co -8.0287 0.7956 5.7822
Co -5.0368 -2.7354 -0.7753
Co -8.5688 -0.7575 3.9843
Co -7.0817 1.2473 3.5832
Dy -8.8030 -2.6304 1.5720
Co -6.2539 -0.6778 4.9975
Co -5.9837 -3.1871 1.4237
Co -6.5327 -0.9699 2.5034
Dy -4.2625 0.6906 3.4349
Co -6.8115 -1.2621 0.0094
Pm 0.0000 0.0000 0.0000
Co -4.4967 -1.1823 1.0226
```

* symmetry: R-3m



(3)
Entry from Alexandria: a geometry-optimized PmDy3Co structure (GGA-PBE).

extended XYZ file:
```
5
Lattice="-4.4536 1.1842 2.6065 -2.8304 -2.5450 -3.6799 0.4298 -4.4890 2.7739" Properties=species:S:1:pos:R:3 pbc="T T T"
Co 0.0000 0.0000 0.0000
Pm -3.4271 -2.9249 0.8502
Dy -2.2268 0.5921 1.3032
Dy 0.2149 -2.2445 1.3870
Dy -1.4152 -1.2725 -1.8400
```

* symmetry: Pm-3m
* polymorph energy (0 for the lowest one): 81 meV/atom



(4)
Entry from Alexandria: a geometry-optimized PmDyCo2 structure (GGA-PBE).

extended XYZ file:
```
4
Lattice="-2.8765 0.8175 1.6124 -0.2377 -4.4235 1.8188 2.5370 1.4271 3.8025" Properties=species:S:1:pos:R:3 pbc="T T T"
Co 1.2685 0.7135 1.9012
Pm -0.2886 -1.0895 3.6168
Dy -1.4383 0.4088 0.8062
Co -0.1189 -2.2118 0.9094
```

* symmetry: P4/mmm
* polymorph energy (0 for the lowest one): 90 meV/atom



(5)
Entry from Alexandria: a geometry-optimized PmDy3Co structure (GGA-PBE).

extended XYZ file:
```
10
Lattice="6.6843 -0.1735 -2.6767 -3.4176 5.9172 -2.2763 0.1821 0.1185 7.1417" Properties=species:S:1:pos:R:3 pbc="T T T"
Pm -1.2826 5.6133 -1.2205
Co 1.7582 4.3597 -0.6688
Dy 3.2859 3.1810 1.7747
Dy 0.2572 3.2860 3.9802
Co 1.6906 1.5026 2.8575
Dy 3.1917 2.5763 -1.7915
Pm 4.7314 0.2490 3.4093
Dy 0.1629 2.6813 0.4141
Dy -2.0684 5.6929 2.4348
Dy 5.5173 0.1694 -0.2461
```

* symmetry: C2/m
* polymorph energy (0 for the lowest one): 0 meV/atom



(6)
Entry from Alexandria: a geometry-optimized PmDy4Co4 structure (GGA-PBE).

extended XYZ file:
```
18
Lattice="-2.2674 -4.0553 -3.0615 4.4139 -5.7584 4.3587 -6.3451 -0.6524 5.5636" Properties=species:S:1:pos:R:3 pbc="T T T"
Dy 1.6677 -5.5582 2.2446
Dy -4.6209 -7.4396 4.3380
Co -1.3742 -1.5178 1.6846
Pm 0.0000 0.0000 0.0000
Dy -1.6770 -8.2595 5.9532
Co -4.4635 -4.3293 2.6406
Dy -3.0478 -3.1477 0.1971
Co -0.7251 -3.7152 1.7458
Dy -3.1043 -1.9187 3.6673
Dy -5.3401 -3.9668 5.3267
Dy 0.6469 -5.4332 5.5446
Co -0.3376 -7.2145 3.4066
Pm -2.0993 -5.2331 3.4304
Co -6.2483 -5.6115 3.2919
Dy -1.3189 -6.1407 0.1718
Co 0.3849 -7.8323 1.3210
Co -1.1596 -5.9707 7.4241
Co -2.8709 -5.6732 5.9286
```

* symmetry: P4_2/n



no.,E (eV/cell),D(E_F) (states/eV/cell)
1,-43.03,10.4
2,-79.68,16.8
3,-25.74,8.7
4,-23.80,1.5
5,-52.29,10.6
6,-104.00,10.7